# Ac6Nd2Cd GGA-PBE optimized geometry
data_Ac6Nd2Cd
_symmetry_space_group_name_H-M 'P -6 2 m'
_symmetry_Int_Tables_number 189
_symmetry_space_group_name_Hall 'P -6 -2'
_cell_length_a 10.3451
_cell_length_b 10.3451
_cell_length_c 3.9312
_cell_angle_alpha 90.00
_cell_angle_beta 90.00
_cell_angle_gamma 120.00
loop_
_atom_site_label
_atom_site_type_symbol
_atom_site_fract_x
_atom_site_fract_y
_atom_site_fract_z
Ac1 Ac 0.0000 0.2785 0.0000
Ac2 Ac 0.0000 0.6244 0.5000
Nd1 Nd 0.3333 0.6667 0.0000
Cd1 Cd 0.0000 0.0000 0.5000
# formation enthalpy at 0 K	-41	meV/atom